Record 1
The following is a PBE calculation of a geometry-optimized PrGeRu2N structure, from the Alexandria database.

Cell lengths 3.9360, 5.9947, 7.3431 Å; angles 90.00, 90.00, 109.17 degrees
Closest atoms and distances in Å follow each position.
Element x y z (fractional)
1 Pr 0.5486 0.0971 0.2500  4 N 2.75
2 N 0.0000 0.0000 0.5000  2 Ru 1.87
3 Pr 0.4514 0.9029 0.7500  4 N 2.75
4 Ru 0.8382 0.6764 0.0541  1 N 1.87
5 Ru 0.8382 0.6764 0.4459  1 N 1.87
6 Ge 0.7293 0.4587 0.7500  6 Ru 2.55
7 Ge 0.2707 0.5413 0.2500  6 Ru 2.55
8 Ru 0.1618 0.3236 0.9459  1 N 1.87
9 N 0.0000 0.0000 0.0000  2 Ru 1.87
10 Ru 0.1618 0.3236 0.5541  1 N 1.87

Results
Its symmetry is Cmcm (63). Its theoretical density is 8.720 g cm⁻³. For the total magnetization, the calculation gives 0.000 μB/cell. The value obtained for the uncorrected energy is -7.87 eV per atom.

Record 2
The following is a PBE calculation of a geometry-optimized CuRu2Pb structure, from the Alexandria database.

Cell lengths 4.4144, 2.9172, 5.1588 Å; angles 86.46, 90.00, 90.00 degrees
Closest atoms and distances in Å follow each position.
Element x y z (fractional)
1 Ru 0.0000 0.9985 0.0397  2 Ru 2.53-2.69, 2 Cu 2.59, 2 Pb 2.79
2 Ru 0.0000 0.5015 0.4603  2 Ru 2.53-2.69, 2 Cu 2.59, 2 Pb 2.79
3 Cu 0.5000 0.2500 0.2500  4 Ru 2.59, 2 Pb 2.88
4 Pb 0.5000 0.7500 0.7500  4 Ru 2.79, 4 Cu 2.88-3.04, 2 Pb 2.92

Results
Its symmetry is P2/m (10). Its theoretical density is 11.843 g cm⁻³. For the total magnetization, the calculation gives 0.000 μB/cell. Its formation energy is 0.56 eV/atom.

Record 3
The following is a PBE calculation of a geometry-optimized NaInCl2 structure, from the Alexandria database.

Cell lengths 4.1243, 4.1243, 7.8662 Å; angles 74.80, 74.80, 60.00 degrees
Closest atoms and distances in Å follow each position.
Element x y z (fractional)
1 Cl 0.2622 0.2622 0.2133  3 Na 2.88, 3 In 3.22
2 Cl 0.0712 0.0712 0.7863  3 Na 2.86, 3 In 3.20
3 In 0.4993 0.4993 0.5021  6 Cl 3.20-3.22
4 Na 0.6672 0.6672 0.9983  6 Cl 2.86-2.88

Results
Its symmetry is R3m (160). For the energy relative to the lowest polymorph listed for this composition, the calculation gives 0.012 eV/atom. Its theoretical density is 3.138 g cm⁻³. For the total magnetization, the calculation gives 0.000 μB/cell.

> The highest theoretical density belongs to which entry?

CuRu2Pb